[1]
Below is crystalline MgCrSi2 at its relaxed geometry, with properties calculated at the PBE-GGA level.

Structure (POSCAR):
```
MgCrSi2
1.0
1.6927 -2.1106 0.0000
1.6927 2.1106 0.0000
0.0000 0.0000 8.1066
Mg Cr Si
1 1 2
Cartesian
0.0000 0.0000 0.0000
1.6927 0.0000 2.1383
0.0000 0.0000 3.8369
1.6927 0.0000 5.8185
```

Calculated values
- Electronic total energy: -20.8 eV for the cell shown
- ρ: 3.8 g/cm³
- M_tot: 0.0 μB per formula unit



[2]
Below is crystalline CsGa2Ge2 at its relaxed geometry, with properties calculated at the PBE-GGA level.

Structure (POSCAR):
```
CsGa2Ge2
1.0
3.7399 -6.0081 0.0000
3.7399 6.0081 0.0000
-3.6360 0.0000 6.1821
Cs Ga Ge
2 4 4
Cartesian
3.7399 3.3226 0.0000
3.7399 -3.3226 0.0000
-1.1503 0.0000 4.7878
1.9218 1.7064 3.0911
1.9218 -1.7064 3.0911
4.9940 0.0000 1.3944
1.9218 4.2175 3.0911
2.3848 0.0000 1.2546
1.4589 0.0000 4.9275
1.9218 -4.2175 3.0911
```

Calculated values
- DFT formation energy: -8 kJ/mol of formula units
- Energy relative to the lowest polymorph listed for this composition: 48.9 meV per atom
- ρ: 5.0 g/cm³
- M_tot: 0.0 μB per formula unit



[3]
Below is crystalline AgTePdI2 at its relaxed geometry, with properties calculated at the PBE-GGA level.

Structure (POSCAR):
```
AgTePdI2
1.0
5.5431 0.0000 0.0000
0.0000 5.5431 0.0000
0.0000 0.0000 5.3123
Ag Te Pd I
1 1 1 2
Cartesian
0.0000 0.0000 0.0000
2.7715 2.7715 0.0000
2.7715 2.7715 2.6561
0.0000 2.7715 2.6561
2.7715 0.0000 2.6561
```

Calculated values
- Energy relative to the lowest polymorph listed for this composition: 0.0 meV per atom
- ρ: 6.1 g/cm³
- M_tot: 0.5 μB per formula unit



[4]
Below is crystalline AlAg2Pd at its relaxed geometry, with properties calculated at the PBE-GGA level.

Structure (POSCAR):
```
AlAg2Pd
1.0
1.4249 0.8226 9.9058
-1.4249 0.8226 9.9058
0.0000 -1.6453 9.9058
Al Ag Pd
1 2 1
Cartesian
0.0000 0.0000 0.0000
0.0000 0.0000 12.1574
0.0000 0.0000 17.5599
0.0000 0.0000 14.8586
```

Calculated values
- DFT formation energy: 42 kJ/mol of formula units
- ρ: 8.3 g/cm³
- M_tot: 0.0 μB per formula unit



[5]
Below is crystalline CeSc5Hg6 at its relaxed geometry, with properties calculated at the PBE-GGA level.

Structure (POSCAR):
```
CeSc5Hg6
1.0
5.0188 0.0000 0.0000
0.0000 7.2580 0.0000
-2.4949 0.0000 7.5910
Ce Sc Hg
1 5 6
Cartesian
0.0000 0.0000 0.0000
0.0000 3.6290 0.0000
0.0105 0.0000 4.9983
0.0119 3.6290 5.1426
2.5121 3.6290 2.4483
2.5134 0.0000 2.5927
0.0027 1.9192 2.6361
0.0027 5.3387 2.6361
2.5094 1.9251 0.0000
2.5094 5.3329 0.0000
2.5212 1.9192 4.9549
2.5212 5.3387 4.9549
```

Calculated values
- DFT formation energy: -439 kJ/mol of formula units
- ρ: 9.4 g/cm³
- M_tot: 1.9 μB per formula unit



[6]
Below is crystalline PrBe13 at its relaxed geometry, with properties calculated at the PBE-GGA level.

Structure (POSCAR):
```
PrBe13
1.0
0.0000 5.1648 5.1648
5.1648 0.0000 5.1648
5.1648 5.1648 0.0000
Pr Be
2 26
Cartesian
2.5824 2.5824 2.5824
7.7472 7.7472 7.7472
0.0000 0.0000 0.0000
5.1648 4.0051 1.8159
8.5137 5.1648 4.0051
6.3244 1.8159 5.1648
6.3244 5.1648 3.3489
5.1648 3.3489 4.0051
6.9807 4.0051 5.1648
5.1648 6.3244 1.8159
4.0051 1.8159 5.1648
8.5137 5.1648 6.3244
4.0051 5.1648 3.3489
6.9807 6.3244 5.1648
5.1648 3.3489 6.3244
5.1648 5.1648 5.1648
5.1648 6.9807 4.0051
3.3489 4.0051 5.1648
6.3244 5.1648 6.9807
1.8159 5.1648 4.0051
6.3244 8.5137 5.1648
5.1648 4.0051 8.5137
3.3489 6.3244 5.1648
5.1648 6.9807 6.3244
4.0051 5.1648 6.9807
4.0051 8.5137 5.1648
1.8159 5.1648 6.3244
5.1648 6.3244 8.5137
```

Calculated values
- DFT formation energy: -220 kJ/mol of formula units
- ρ: 3.1 g/cm³
- M_tot: 0.0 μB per formula unit